VASP calculation (PBE-GGA) on Np3Pd2Au4 after structural relaxation.

Cell: 8.4388 8.4388 5.9173 Å, 90.00 90.00 120.05°
Last column: nearest neighbours and their distance in Å.
Fractional coordinates of all 18 atoms:
Np1 0.0000 0.0000 0.2500  2 Np 2.96, 8 Au 3.16-3.18, 4 Pd 3.19
Np2 0.0000 0.0000 0.7500  2 Np 2.96, 8 Au 3.16-3.18, 4 Pd 3.19
Np3 0.3300 0.6700 0.2500  2 Np 2.96, 4 Pd 3.13-3.18, 8 Au 3.15-3.24
Np4 0.3300 0.6700 0.7500  2 Np 2.96, 4 Pd 3.13-3.18, 8 Au 3.15-3.24
Np5 0.6700 0.3300 0.2500  2 Np 2.96, 4 Pd 3.13-3.18, 8 Au 3.15-3.24
Np6 0.6700 0.3300 0.7500  2 Np 2.96, 4 Pd 3.13-3.18, 8 Au 3.15-3.24
Pd1 0.0010 0.6659 0.0000  1 Pd 2.79, 4 Au 2.79-2.96
Pd2 0.3341 0.9990 0.5000  1 Pd 2.79, 4 Au 2.79-2.96
Pd3 0.6659 0.0010 0.5000  1 Pd 2.79, 4 Au 2.79-2.96
Pd4 0.9990 0.3341 0.0000  1 Pd 2.79, 4 Au 2.79-2.96
Au1 0.0002 0.3316 0.5000  3 Pd 2.80-2.96, 2 Au 2.83-2.84
Au2 0.9998 0.6684 0.5000  3 Pd 2.80-2.96, 2 Au 2.83-2.84
Au3 0.3307 0.3356 0.0000  1 Pd 2.79, 4 Au 2.81-2.96
Au4 0.3316 0.0002 0.0000  3 Pd 2.80-2.96, 2 Au 2.83-2.84
Au5 0.3356 0.3307 0.5000  1 Pd 2.79, 4 Au 2.81-2.96
Au6 0.6644 0.6693 0.5000  1 Pd 2.79, 4 Au 2.81-2.96
Au7 0.6684 0.9998 0.0000  3 Pd 2.80-2.96, 2 Au 2.83-2.84
Au8 0.6693 0.6644 0.0000  1 Pd 2.79, 4 Au 2.81-2.96

Energy relative to the elements in eV per atom: -0.243
Fermi-level density of states in states/eV/atom: 2.538

VASP calculation (PBE-GGA) on LiMgRu after structural relaxation.

Cell: 2.9399 4.6462 14.0630 Å, 90.00 90.00 90.00°
Last column: nearest neighbours and their distance in Å.
Fractional coordinates of all 12 atoms:
Li1 0.0000 0.0000 0.0000  2 Ru 2.61, 4 Li 2.75
Li2 0.0000 0.5000 0.5000  2 Ru 2.61, 4 Li 2.75
Li3 0.5000 0.0000 0.5000  2 Ru 2.61, 4 Li 2.75
Li4 0.5000 0.5000 0.0000  2 Ru 2.61, 4 Li 2.75
Mg1 0.0000 0.0000 0.3125  2 Ru 2.67, 6 Mg 2.75-2.94
Mg2 0.0000 0.5000 0.8125  2 Ru 2.67, 6 Mg 2.75-2.94
Mg3 0.5000 0.0000 0.8125  2 Ru 2.67, 6 Mg 2.75-2.94
Mg4 0.5000 0.5000 0.3125  2 Ru 2.67, 6 Mg 2.75-2.94
Ru1 0.0000 0.0000 0.6537  2 Li 2.61, 2 Mg 2.67, 4 Ru 2.75
Ru2 0.0000 0.5000 0.1537  2 Li 2.61, 2 Mg 2.67, 4 Ru 2.75
Ru3 0.5000 0.0000 0.1537  2 Li 2.61, 2 Mg 2.67, 4 Ru 2.75
Ru4 0.5000 0.5000 0.6537  2 Li 2.61, 2 Mg 2.67, 4 Ru 2.75

Energy relative to the elements in eV per atom: 0.182
Fermi-level density of states in states/eV/atom: 0.830

VASP calculation (PBE-GGA) on Tm2Mn12InSn11 after structural relaxation.

Cell: 5.4354 5.4354 18.0186 Å, 90.00 90.00 120.00°
Last column: nearest neighbours and their distance in Å.
Fractional coordinates of all 26 atoms:
Tm1 0.0000 0.0000 0.2500  8 Sn 3.00-3.14
Tm2 0.0000 0.0000 0.7500  8 Sn 3.00-3.14
Mn1 0.0005 0.5002 0.1251  4 Mn 2.71-2.72, 6 Sn 2.72-2.82
Mn2 0.0005 0.5002 0.8749  4 Mn 2.71-2.72, 6 Sn 2.72-2.82
Mn3 0.4998 0.9995 0.1251  4 Mn 2.71-2.72, 6 Sn 2.72-2.82
Mn4 0.4998 0.9995 0.8749  4 Mn 2.71-2.72, 6 Sn 2.72-2.82
Mn5 0.4998 0.5002 0.1251  4 Mn 2.71-2.72, 6 Sn 2.72-2.82
Mn6 0.4998 0.5002 0.8749  4 Mn 2.71-2.72, 6 Sn 2.72-2.82
Mn7 0.5008 0.0015 0.3721  4 Mn 2.71-2.73, 5 Sn 2.72-2.83, 1 In 2.79
Mn8 0.5008 0.0015 0.6279  4 Mn 2.71-2.73, 5 Sn 2.72-2.83, 1 In 2.79
Mn9 0.5008 0.4992 0.3721  4 Mn 2.71-2.73, 5 Sn 2.72-2.83, 1 In 2.79
Mn10 0.5008 0.4992 0.6279  4 Mn 2.71-2.73, 5 Sn 2.72-2.83, 1 In 2.79
Mn11 0.9985 0.4992 0.3721  4 Mn 2.71-2.73, 5 Sn 2.72-2.83, 1 In 2.79
Mn12 0.9985 0.4992 0.6279  4 Mn 2.71-2.73, 5 Sn 2.72-2.83, 1 In 2.79
In1 0.3333 0.6667 0.5000  6 Mn 2.79
Sn1 0.0000 0.0000 0.0838  6 Mn 2.82, 1 Tm 3.00, 1 Sn 3.02
Sn2 0.0000 0.0000 0.4162  6 Mn 2.83, 1 Tm 3.00, 1 Sn 3.02
Sn3 0.0000 0.0000 0.5838  6 Mn 2.83, 1 Tm 3.00, 1 Sn 3.02
Sn4 0.0000 0.0000 0.9162  6 Mn 2.82, 1 Tm 3.00, 1 Sn 3.02
Sn5 0.3333 0.6667 0.0000  6 Mn 2.75
Sn6 0.3333 0.6667 0.2488  6 Mn 2.72
Sn7 0.3333 0.6667 0.7512  6 Mn 2.72
Sn8 0.6667 0.3333 0.0000  6 Mn 2.75
Sn9 0.6667 0.3333 0.2484  6 Mn 2.72
Sn10 0.6667 0.3333 0.5000  6 Mn 2.78
Sn11 0.6667 0.3333 0.7516  6 Mn 2.72

Energy relative to the elements in eV per atom: -0.105
Fermi-level density of states in states/eV/atom: 0.785

VASP calculation (PBE-GGA) on NaSrSc2O after structural relaxation.

Cell: 6.4468 6.4468 4.3904 Å, 90.00 90.00 90.00°
Last column: nearest neighbours and their distance in Å.
Fractional coordinates of all 5 atoms:
Na1 0.0000 0.0000 0.0000  8 Sc 3.90
Sr1 0.5000 0.5000 0.5000  2 O 2.20
Sc1 0.0000 0.5000 0.5000  2 Sr 3.22
Sc2 0.5000 0.0000 0.5000  2 Sr 3.22
O1 0.5000 0.5000 0.0000  2 Sr 2.20

Formation energy (no corrections) in eV per atom: 0.54
Fermi-level density of states in states/eV/atom: 1.719

VASP calculation (PBE-GGA) on TbPm3Sm3 after structural relaxation.

Cell: 8.9443 8.9443 8.9443 Å, 58.71 58.71 58.71°
Last column: nearest neighbours and their distance in Å.
Fractional coordinates of all 14 atoms:
Tb1 0.1542 0.1542 0.1542  6 Sm 3.56-3.80, 6 Pm 3.67-3.80
Tb2 0.8458 0.8458 0.8458  6 Sm 3.56-3.80, 6 Pm 3.67-3.80
Pm1 0.0672 0.5687 0.2200  4 Sm 3.30-3.67, 2 Pm 3.67, 1 Tb 3.67
Pm2 0.2200 0.0672 0.5687  4 Sm 3.30-3.67, 2 Pm 3.67, 1 Tb 3.67
Pm3 0.4313 0.7800 0.9328  4 Sm 3.30-3.67, 2 Pm 3.67, 1 Tb 3.67
Pm4 0.5687 0.2200 0.0672  4 Sm 3.30-3.67, 2 Pm 3.67, 1 Tb 3.67
Pm5 0.7800 0.9328 0.4313  4 Sm 3.30-3.67, 2 Pm 3.67, 1 Tb 3.67
Pm6 0.9328 0.4313 0.7800  4 Sm 3.30-3.67, 2 Pm 3.67, 1 Tb 3.67
Sm1 0.2086 0.6783 0.4378  4 Pm 3.30-3.67, 4 Sm 3.31-3.57, 1 Tb 3.56
Sm2 0.3217 0.5622 0.7914  4 Pm 3.30-3.67, 4 Sm 3.31-3.57, 1 Tb 3.56
Sm3 0.4378 0.2086 0.6783  4 Pm 3.30-3.67, 4 Sm 3.31-3.57, 1 Tb 3.56
Sm4 0.5622 0.7914 0.3217  4 Pm 3.30-3.67, 4 Sm 3.31-3.57, 1 Tb 3.56
Sm5 0.6783 0.4378 0.2086  4 Pm 3.30-3.67, 4 Sm 3.31-3.57, 1 Tb 3.56
Sm6 0.7914 0.3217 0.5622  4 Pm 3.30-3.67, 4 Sm 3.31-3.57, 1 Tb 3.56

Energy relative to the elements in eV per atom: 0.215
Fermi-level density of states in states/eV/atom: 1.520

VASP calculation (PBE-GGA) on In2Tc2Au after structural relaxation.

Cell: 3.4826 3.4826 16.8242 Å, 90.00 90.00 90.00°
Last column: nearest neighbours and their distance in Å.
Fractional coordinates of all 10 atoms:
In1 0.0000 0.0000 0.1064  4 Tc 2.98, 4 Au 3.04
In2 0.0000 0.0000 0.8936  4 Tc 2.98, 4 Au 3.04
In3 0.5000 0.5000 0.3936  4 Tc 2.98, 4 Au 3.04
In4 0.5000 0.5000 0.6064  4 Tc 2.98, 4 Au 3.04
Tc1 0.0000 0.5000 0.2500  4 Tc 2.46
Tc2 0.0000 0.5000 0.7500  4 Tc 2.46
Tc3 0.5000 0.0000 0.2500  4 Tc 2.46
Tc4 0.5000 0.0000 0.7500  4 Tc 2.46
Au1 0.0000 0.0000 0.5000  8 In 3.04
Au2 0.5000 0.5000 0.0000  8 In 3.04

Energy relative to the elements in eV per atom: 0.387
Fermi-level density of states in states/eV/atom: 0.864